Material: Cs2LiGaCl6
Method: DFT, GGA-PBE
State: optimized geometry

CIF file:
```
data_Cs2LiGaCl6
_symmetry_space_group_name_H-M 'P -3 m 1'
_symmetry_Int_Tables_number 164
_symmetry_space_group_name_Hall '-P 3 2"'
_cell_length_a 7.3984
_cell_length_b 7.3984
_cell_length_c 6.1935
_cell_angle_alpha 90.00
_cell_angle_beta 90.00
_cell_angle_gamma 120.00
loop_
_atom_site_label
_atom_site_fract_x
_atom_site_fract_y
_atom_site_fract_z
_atom_site_occupancy
Cs1 0.3333 0.6667 0.2610 1
Li1 0.0000 0.0000 0.0000 1
Ga1 0.0000 0.0000 0.5000 1
Cl1 0.1514 0.3028 0.7300 1
```

Computed properties:
mass density: 3.1 g cm⁻³
crystal system: trigonal
offset from the most stable computed form: 0.0 meV per atom
energy relative to the elements, uncorrected: -1.647 eV per atom
DOS(E_F): 0.000 states/eV/atom

Material: Hf2CuNi4
Method: DFT, GGA-PBE
State: optimized geometry

CIF file:
```
data_Hf2CuNi4
_symmetry_space_group_name_H-M 'I 4/m m m'
_symmetry_Int_Tables_number 139
_symmetry_space_group_name_Hall '-I 4 2'
_cell_length_a 4.2481
_cell_length_b 4.2481
_cell_length_c 12.7694
_cell_angle_alpha 90.00
_cell_angle_beta 90.00
_cell_angle_gamma 90.00
loop_
_atom_site_label
_atom_site_fract_x
_atom_site_fract_y
_atom_site_fract_z
_atom_site_occupancy
Hf1 0.0000 0.0000 0.1297 1
Cu1 0.0000 0.0000 0.5000 1
Ni1 0.0000 0.0000 0.3191 1
Ni2 0.0000 0.5000 0.0000 1
```

Computed properties:
mass density: 9.4 g cm⁻³
crystal system: tetragonal
offset from the most stable computed form: 678.5 meV per atom
ΔH_f (0 K): 2.729 eV per formula unit
DOS(E_F): 0.723 states/eV/atom

Material: Np2FeP3Ir4
Method: DFT, GGA-PBE
State: optimized geometry

CIF file:
```
data_Np2FeP3Ir4
_symmetry_space_group_name_H-M 'P -4 m 2'
_symmetry_Int_Tables_number 115
_cell_length_a 4.0358
_cell_length_b 4.0358
_cell_length_c 10.0278
_cell_angle_alpha 90.00
_cell_angle_beta 90.00
_cell_angle_gamma 90.00
loop_
_symmetry_equiv_pos_as_xyz
'x,y,z'
'y,-x,-z'
'-x,-y,z'
'-y,x,-z'
'-x,y,z'
'-y,-x,-z'
'x,-y,z'
'y,x,-z'
loop_
_atom_site_label
_atom_site_fract_x
_atom_site_fract_y
_atom_site_fract_z
_atom_site_occupancy
Np1 0.0000 0.5000 0.2462 1
Fe1 0.5000 0.5000 0.0000 1
P1 0.0000 0.0000 0.0000 1
P2 0.0000 0.5000 0.6373 1
Ir1 0.0000 0.0000 0.5000 1
Ir2 0.0000 0.5000 0.8684 1
Ir3 0.5000 0.5000 0.5000 1
```

Computed properties:
mass density: 14.1 g cm⁻³
crystal system: tetragonal
ΔH_f (0 K): -5.642 eV per formula unit
DOS(E_F): 2.201 states/eV/atom

Material: YThZnPd
Method: DFT, GGA-PBE
State: optimized geometry

CIF file:
```
data_YThZnPd
_symmetry_space_group_name_H-M 'F -4 3 m'
_symmetry_Int_Tables_number 216
_symmetry_space_group_name_Hall 'F -4 2 3'
_cell_length_a 7.2212
_cell_length_b 7.2212
_cell_length_c 7.2212
_cell_angle_alpha 90.00
_cell_angle_beta 90.00
_cell_angle_gamma 90.00
loop_
_atom_site_label
_atom_site_fract_x
_atom_site_fract_y
_atom_site_fract_z
_atom_site_occupancy
Y1 0.0000 0.0000 0.0000 1
Th1 0.0000 0.0000 0.5000 1
Zn1 0.2500 0.2500 0.2500 1
Pd1 0.2500 0.2500 0.7500 1
```

Computed properties:
mass density: 8.7 g cm⁻³
crystal system: cubic
ΔH_f (0 K): -1.872 eV per formula unit
DOS(E_F): 0.945 states/eV/atom

Material: Pa3H12Rh5
Method: DFT, GGA-PBE
State: optimized geometry

CIF file:
```
data_Pa3H12Rh5
_symmetry_space_group_name_H-M 'I a -3 d'
_symmetry_Int_Tables_number 230
_symmetry_space_group_name_Hall '-I 4bd 2c 3'
_cell_length_a 11.6904
_cell_length_b 11.6904
_cell_length_c 11.6904
_cell_angle_alpha 90.00
_cell_angle_beta 90.00
_cell_angle_gamma 90.00
loop_
_atom_site_label
_atom_site_fract_x
_atom_site_fract_y
_atom_site_fract_z
_atom_site_occupancy
Pa1 0.0000 0.2500 0.1250 1
H1 0.0362 0.0534 0.6379 1
Rh1 0.0000 0.0000 0.0000 1
Rh2 0.0000 0.2500 0.3750 1
```

Computed properties:
mass density: 10.1 g cm⁻³
crystal system: cubic
DOS(E_F): 0.813 states/eV/atom

Material: Mg2BiAsO6
Method: DFT, GGA-PBE
State: optimized geometry

CIF file:
```
data_Mg2BiAsO6
_symmetry_space_group_name_H-M 'C m c m'
_symmetry_Int_Tables_number 63
_symmetry_space_group_name_Hall '-C 2c 2'
_cell_length_a 8.0121
_cell_length_b 12.4850
_cell_length_c 5.4655
_cell_angle_alpha 90.00
_cell_angle_beta 90.00
_cell_angle_gamma 90.00
loop_
_atom_site_label
_atom_site_fract_x
_atom_site_fract_y
_atom_site_fract_z
_atom_site_occupancy
Mg1 0.1964 0.0924 0.2500 1
Bi1 0.0000 0.4081 0.2500 1
As1 0.0000 0.1981 0.7500 1
O1 0.0000 0.1172 0.0071 1
O2 0.1704 0.5000 0.0000 1
O3 0.1773 0.2722 0.7500 1
```

Computed properties:
mass density: 5.2 g cm⁻³
crystal system: orthorhombic
offset from the most stable computed form: 0.0 meV per atom
energy relative to the elements, uncorrected: -1.895 eV per atom
DOS(E_F): 0.000 states/eV/atom

Material: BaLiCo2
Method: DFT, GGA-PBE
State: optimized geometry

CIF file:
```
data_BaLiCo2
_symmetry_space_group_name_H-M 'P 4/m m m'
_symmetry_Int_Tables_number 123
_symmetry_space_group_name_Hall '-P 4 2'
_cell_length_a 4.0573
_cell_length_b 4.0573
_cell_length_c 4.5754
_cell_angle_alpha 90.00
_cell_angle_beta 90.00
_cell_angle_gamma 90.00
loop_
_atom_site_label
_atom_site_fract_x
_atom_site_fract_y
_atom_site_fract_z
_atom_site_occupancy
Ba1 0.0000 0.0000 0.0000 1
Li1 0.5000 0.5000 0.0000 1
Co1 0.0000 0.5000 0.5000 1
```

Computed properties:
mass density: 5.8 g cm⁻³
crystal system: tetragonal
offset from the most stable computed form: 568.0 meV per atom
ΔH_f (0 K): 3.295 eV per formula unit
DOS(E_F): 1.668 states/eV/atom

Material: Ca6AgSn3
Method: DFT, GGA-PBE
State: optimized geometry

CIF file:
```
data_Ca6AgSn3
_symmetry_space_group_name_H-M 'P 1 21/c 1'
_symmetry_Int_Tables_number 14
_cell_length_a 8.1081
_cell_length_b 8.1231
_cell_length_c 12.9111
_cell_angle_alpha 90.00
_cell_angle_beta 128.07
_cell_angle_gamma 90.00
loop_
_symmetry_equiv_pos_as_xyz
'x,y,z'
'-x,-y,-z'
'-x,y+1/2,-z+1/2'
'x,-y+1/2,z+1/2'
loop_
_atom_site_label
_atom_site_fract_x
_atom_site_fract_y
_atom_site_fract_z
_atom_site_occupancy
Ca1 0.0418 0.0615 0.2562 1
Ca2 0.2499 0.6731 0.0715 1
Ca3 0.4122 0.1603 0.0660 1
Ag1 0.5000 0.0000 0.5000 1
Sn1 0.0000 0.0000 0.0000 1
Sn2 0.2751 0.1473 0.7304 1
```

Computed properties:
mass density: 3.5 g cm⁻³
crystal system: monoclinic
ΔH_f (0 K): -4.018 eV per formula unit
DOS(E_F): 0.494 states/eV/atom

Material: SrSi2As
Method: DFT, GGA-PBE
State: optimized geometry

CIF file:
```
data_SrSi2As
_symmetry_space_group_name_H-M 'I -4 m 2'
_symmetry_Int_Tables_number 119
_symmetry_space_group_name_Hall 'I -4 -2'
_cell_length_a 4.4153
_cell_length_b 4.4153
_cell_length_c 8.8093
_cell_angle_alpha 90.00
_cell_angle_beta 90.00
_cell_angle_gamma 90.00
loop_
_atom_site_label
_atom_site_fract_x
_atom_site_fract_y
_atom_site_fract_z
_atom_site_occupancy
Sr1 0.0000 0.0000 0.0000 1
Si1 0.0000 0.0000 0.5000 1
Si2 0.0000 0.5000 0.2500 1
As1 0.0000 0.5000 0.7500 1
```

Computed properties:
mass density: 4.2 g cm⁻³
crystal system: tetragonal
energy relative to the elements, uncorrected: 0.116 eV per atom
DOS(E_F): 0.515 states/eV/atom

Material: PtAuI2O
Method: DFT, GGA-PBE
State: optimized geometry

CIF file:
```
data_PtAuI2O
_symmetry_space_group_name_H-M 'P 4/m m m'
_symmetry_Int_Tables_number 123
_symmetry_space_group_name_Hall '-P 4 2'
_cell_length_a 5.6579
_cell_length_b 5.6579
_cell_length_c 3.8111
_cell_angle_alpha 90.00
_cell_angle_beta 90.00
_cell_angle_gamma 90.00
loop_
_atom_site_label
_atom_site_fract_x
_atom_site_fract_y
_atom_site_fract_z
_atom_site_occupancy
Pt1 0.0000 0.0000 0.0000 1
Au1 0.5000 0.5000 0.5000 1
I1 0.0000 0.5000 0.0000 1
O1 0.0000 0.0000 0.5000 1
```

Computed properties:
mass density: 9.0 g cm⁻³
crystal system: tetragonal
offset from the most stable computed form: 0.0 meV per atom
energy relative to the elements, uncorrected: 0.229 eV per atom
DOS(E_F): 0.596 states/eV/atom

Number 1: magnetic moment 0.00 μB/f.u., E_tot -3.42 eV/atom. Number 2: magnetic moment 0.00 μB/f.u., E_tot -6.34 eV/atom. Number 3: magnetic moment 9.74 μB/f.u., E_tot -9.17 eV/atom. Number 4: magnetic moment 0.00 μB/f.u., E_tot -5.56 eV/atom. Number 5: magnetic moment 2.17 μB/f.u., E_tot -5.46 eV/atom. Number 6: magnetic moment 0.00 μB/f.u., E_tot -6.04 eV/atom. Number 7: magnetic moment 2.24 μB/f.u., E_tot -3.69 eV/atom. Number 8: magnetic moment 0.00 μB/f.u., E_tot -3.09 eV/atom. Number 9: magnetic moment 0.00 μB/f.u., E_tot -4.18 eV/atom. Number 10: magnetic moment 0.00 μB/f.u., E_tot -3.25 eV/atom.